# 1
A plane-wave DFT calculation with PBE-GGA was carried out for a relaxed structure of YTaCu.

Cell: 4.5262 4.5262 4.5262 Å, 60.00 60.00 60.00°
Positions (direct):
Y  0.0000  0.0000  0.0000
Ta  0.5000  0.5000  0.5000
Cu  0.7500  0.7500  0.7500

- E above lowest polymorph (meV/atom) = 491.6
- calculated volume (A^3/atom) = 21.9
- DFT formation energy (eV per atom) = 0.6433

=====

# 2
A plane-wave DFT calculation with PBE-GGA was carried out for a relaxed structure of Y2TaCu.

Cell: 10.5049 10.5049 10.5049 Å, 156.49 156.49 33.49°
Positions (direct):
Y  0.1171  0.6250  0.9921
Y  0.3750  0.3671  0.4921
Y  0.6329  0.1250  0.0079
Y  0.8750  0.8829  0.5079
Ta  0.2500  0.7500  0.5000
Ta  0.5000  0.5000  0.0000
Cu  0.0000  0.0000  0.0000
Cu  0.7500  0.2500  0.5000

- E above lowest polymorph (meV/atom) = 706.4
- calculated volume (A^3/atom) = 23.0
- DFT formation energy (eV per atom) = 0.8336

=====

# 3
A plane-wave DFT calculation with PBE-GGA was carried out for a relaxed structure of Y2TaCu.

Cell: 3.2866 3.2866 8.2637 Å, 90.00 90.00 90.00°
Positions (direct):
Y  0.0000  0.0000  0.2308
Y  0.0000  0.0000  0.7692
Ta  0.5000  0.5000  0.5000
Cu  0.5000  0.5000  0.0000

- E above lowest polymorph (meV/atom) = 0.0
- calculated volume (A^3/atom) = 22.3
- DFT formation energy (eV per atom) = 0.1272

=====

# 4
A plane-wave DFT calculation with PBE-GGA was carried out for a relaxed structure of TaZn2Cu.

Cell: 4.3593 4.3593 4.3593 Å, 119.85 119.85 90.25°
Positions (direct):
Ta  0.0000  0.0000  0.0000
Zn  0.2500  0.7500  0.5000
Zn  0.5000  0.5000  0.0000
Cu  0.7500  0.2500  0.5000

- E above lowest polymorph (meV/atom) = 225.2
- calculated volume (A^3/atom) = 14.7
- DFT formation energy (eV per atom) = 0.1811

=====

# 5
A plane-wave DFT calculation with PBE-GGA was carried out for a relaxed structure of TaZnCu2.

Cell: 4.5628 4.5628 5.0499 Å, 97.42 97.42 33.59°
Positions (direct):
Ta  0.0000  0.0000  0.0000
Zn  0.5000  0.5000  0.5000
Cu  0.2471  0.2471  0.7457
Cu  0.7529  0.7529  0.2543

- calculated volume (A^3/atom) = 14.4
- DFT formation energy (eV per atom) = 0.1303

=====

# 6
A plane-wave DFT calculation with PBE-GGA was carried out for a relaxed structure of TaZn3Cu.

Cell: 4.3799 4.3799 4.3799 Å, 90.00 90.00 90.00°
Positions (direct):
Ta  0.0000  0.0000  0.0000
Zn  0.0000  0.5000  0.5000
Zn  0.5000  0.0000  0.5000
Zn  0.5000  0.5000  0.0000
Cu  0.5000  0.5000  0.5000

- E above lowest polymorph (meV/atom) = 0.0
- calculated volume (A^3/atom) = 16.8
- DFT formation energy (eV per atom) = 0.6915

=====

> calculated volume of number 3 (Y2TaCu)?

22.3 A^3/atom

=====

What did the fifth record say?
A plane-wave DFT calculation with PBE-GGA was carried out for a relaxed structure of TaZnCu2.

Cell: 4.5628 4.5628 5.0499 Å, 97.42 97.42 33.59°
Positions (direct):
Ta  0.0000  0.0000  0.0000
Zn  0.5000  0.5000  0.5000
Cu  0.2471  0.2471  0.7457
Cu  0.7529  0.7529  0.2543

- calculated volume (A^3/atom) = 14.4
- DFT formation energy (eV per atom) = 0.1303